First-principles (GGA-PBE) data for a relaxed structure of Ac6Tl2In, as listed in the Alexandria database.

## Properties
M_tot in μB/atom: 0.000
Energy relative to the elements in meV per atom: -232
ΔE to the lowest computed polymorph in eV/atom: 0.0000
D(E_F) in states/eV per cell: 22.081

Geometry as extended XYZ:
```
18
Lattice="9.155 0.000 -3.420 -4.807 8.061 -2.727 -0.177 0.000 9.772" Properties=species:S:1:pos:R:3 pbc="T T T"
Ac 0.494 2.032 3.013
Ac 6.149 2.032 -2.882
Ac 3.678 6.029 0.611
Ac 4.758 5.882 -3.365
Ac -1.978 6.029 6.507
Ac -0.586 2.179 6.989
Ac 6.258 0.340 0.676
Ac 4.565 3.078 3.069
Ac -2.086 7.721 2.949
Ac 1.412 5.882 4.165
Ac 2.760 2.179 -0.540
Ac -0.393 4.982 0.556
Tl 3.093 0.000 2.188
Tl 1.535 5.065 -2.169
Tl 5.885 0.000 4.163
Tl 2.637 2.996 5.794
In 0.000 0.000 0.000
In -2.492 4.030 3.522
```